V4CuNi5 | Alexandria via LeMat-Bulk | PBE | relaxed; DOS(E_F) = 1.056 states/eV per atom; space group = No. 59; E_form = 0.0780 eV per atom
1.0
7.382 0.000 0.000
0.000 8.104 0.000
0.000 0.000 4.222
V Cu Ni
8 2 10
Cartesian
0.500 2.026 0.277
1.845 4.526 1.037
1.845 7.629 1.037
3.191 2.026 0.277
4.191 6.078 3.945
5.536 0.474 3.185
5.536 3.578 3.185
6.882 6.078 3.945
1.845 6.078 3.049
5.536 2.026 1.174
0.608 0.098 3.152
0.608 3.954 3.152
1.845 2.026 2.238
3.083 0.098 3.152
3.083 3.954 3.152
4.299 4.150 1.071
4.299 8.005 1.071
5.536 6.078 1.984
6.774 4.150 1.071
6.774 8.005 1.071